VASP calculation (PBE) on a relaxed Ca2MgPt crystal.

**ρ**: 4.8 g/cm3
**Total energy**: -3.4275 eV/atom

Lattice parameters (Å, degrees): 3.613 3.613 7.921 90.00 90.00 90.00
Space group P4/mmm (No. 123)
Inequivalent atoms, fractional coordinates:
1 Ca 0.000 0.000 0.207 x2
2 Mg 0.500 0.500 0.500 x1
3 Pt 0.500 0.500 0.000 x1